(1)
{
  "formula": "Na4Ga3Si3BH4O12",
  "functional": "SCAN",
  "state": "single point on PBEsol structure",
  "cell": [[8.947, 0.000, 0.000], [0.000, 8.947, 0.000], [0.000, 0.000, 8.947]],
  "species": ["O", "O", "O", "O", "O", "O", "O", "O", "O", "O", "O", "O", "O", "O", "O", "O", "O", "O", "O", "O", "O", "O", "O", "O", "Na", "Na", "Na", "Na", "Na", "Na", "Na", "Na", "H", "H", "H", "H", "H", "H", "H", "H", "Si", "Si", "Si", "Si", "Si", "Si", "Ga", "Ga", "Ga", "Ga", "Ga", "Ga", "B", "B"],
  "frac_coords": [[0.850, 0.576, 0.134], [0.576, 0.134, 0.850], [0.366, 0.076, 0.650], [0.924, 0.650, 0.634], [0.850, 0.424, 0.866], [0.150, 0.424, 0.134], [0.866, 0.150, 0.576], [0.150, 0.576, 0.866], [0.650, 0.366, 0.076], [0.866, 0.850, 0.424], [0.076, 0.650, 0.366], [0.134, 0.850, 0.576], [0.634, 0.924, 0.650], [0.634, 0.076, 0.350], [0.576, 0.866, 0.150], [0.424, 0.866, 0.850], [0.366, 0.924, 0.350], [0.134, 0.150, 0.424], [0.076, 0.350, 0.634], [0.350, 0.634, 0.076], [0.924, 0.350, 0.366], [0.350, 0.366, 0.924], [0.424, 0.134, 0.150], [0.650, 0.634, 0.924], [0.330, 0.330, 0.670], [0.330, 0.670, 0.330], [0.170, 0.830, 0.830], [0.670, 0.330, 0.330], [0.830, 0.170, 0.830], [0.170, 0.170, 0.170], [0.830, 0.830, 0.170], [0.670, 0.670, 0.670], [0.080, 0.920, 0.080], [0.920, 0.920, 0.920], [0.580, 0.420, 0.580], [0.920, 0.080, 0.080], [0.580, 0.580, 0.420], [0.420, 0.580, 0.580], [0.080, 0.080, 0.920], [0.420, 0.420, 0.420], [0.500, 0.000, 0.750], [0.000, 0.250, 0.500], [0.000, 0.750, 0.500], [0.500, 0.000, 0.250], [0.750, 0.500, 0.000], [0.250, 0.500, 0.000], [0.500, 0.250, 0.000], [0.750, 0.000, 0.500], [0.500, 0.750, 0.000], [0.000, 0.500, 0.250], [0.250, 0.000, 0.500], [0.000, 0.500, 0.750], [0.000, 0.000, 0.000], [0.500, 0.500, 0.500]],
  "magnetic_moment_mub_per_atom": 0.000,
  "total_energy_ev_per_atom": -9.18
}


(2)
{
  "formula": "RbGaBP2HO9",
  "functional": "SCAN",
  "state": "single point on PBEsol structure",
  "cell": [[8.408, 0.000, 0.000], [0.000, 9.378, -0.026], [0.000, -2.227, 9.312]],
  "species": ["O", "O", "O", "O", "O", "O", "O", "O", "O", "O", "O", "O", "O", "O", "O", "O", "O", "O", "O", "O", "O", "O", "O", "O", "O", "O", "O", "O", "O", "O", "O", "O", "O", "O", "O", "O", "P", "P", "P", "P", "P", "P", "P", "P", "Ga", "Ga", "Ga", "Ga", "B", "B", "B", "B", "H", "H", "H", "H", "Rb", "Rb", "Rb", "Rb"],
  "frac_coords": [[0.085, 0.086, 0.228], [0.575, 0.310, 0.768], [0.630, 0.858, 0.832], [0.300, 0.915, 0.250], [0.481, 0.421, 0.200], [0.792, 0.841, 0.072], [0.925, 0.310, 0.268], [0.915, 0.914, 0.772], [0.657, 0.600, 0.350], [0.075, 0.690, 0.732], [0.370, 0.142, 0.168], [0.457, 0.806, 0.041], [0.130, 0.142, 0.668], [0.292, 0.159, 0.428], [0.157, 0.400, 0.150], [0.519, 0.579, 0.800], [0.957, 0.194, 0.459], [0.870, 0.858, 0.332], [0.343, 0.400, 0.650], [0.043, 0.806, 0.541], [0.425, 0.690, 0.232], [0.708, 0.841, 0.572], [0.981, 0.579, 0.300], [0.415, 0.086, 0.728], [0.158, 0.425, 0.424], [0.342, 0.425, 0.924], [0.843, 0.600, 0.850], [0.800, 0.085, 0.250], [0.585, 0.914, 0.272], [0.700, 0.085, 0.750], [0.543, 0.194, 0.959], [0.200, 0.915, 0.750], [0.842, 0.575, 0.576], [0.019, 0.421, 0.700], [0.658, 0.575, 0.076], [0.208, 0.159, 0.928], [0.236, 0.083, 0.771], [0.736, 0.917, 0.729], [0.061, 0.431, 0.290], [0.764, 0.917, 0.229], [0.264, 0.083, 0.271], [0.439, 0.431, 0.790], [0.939, 0.569, 0.710], [0.561, 0.569, 0.210], [0.343, 0.299, 0.062], [0.157, 0.299, 0.562], [0.843, 0.701, 0.438], [0.657, 0.701, 0.938], [0.554, 0.166, 0.800], [0.446, 0.834, 0.200], [0.946, 0.166, 0.300], [0.054, 0.834, 0.700], [0.442, 0.894, 0.004], [0.942, 0.106, 0.496], [0.058, 0.894, 0.504], [0.558, 0.106, 0.996], [0.110, 0.688, 0.061], [0.610, 0.312, 0.439], [0.890, 0.312, 0.939], [0.390, 0.688, 0.561]],
  "magnetic_moment_mub_per_atom": 0.000,
  "total_energy_ev_per_atom": -10.69
}


(3)
{
  "formula": "GaHgB2Pt",
  "functional": "SCAN",
  "state": "single point on PBEsol structure",
  "cell": [[-0.951, 3.230, -2.203], [-3.751, -1.395, -0.425], [-1.540, 2.722, 4.656]],
  "species": ["Pt", "B", "B", "Hg", "Ga"],
  "frac_coords": [[0.000, 0.000, 0.000], [0.000, 0.500, 0.000], [0.500, 0.000, 0.000], [0.000, 0.000, 0.500], [0.500, 0.500, 0.500]],
  "magnetic_moment_mub_per_atom": 0.000,
  "total_energy_ev_per_atom": -33.37,
  "formation_enthalpy_0k_ev_per_atom": 0.5398
}


(4)
{
  "formula": "GaHgBRu2",
  "functional": "SCAN",
  "state": "single point on PBEsol structure",
  "cell": [[4.126, 0.000, 0.000], [0.000, 4.126, 0.000], [0.000, 0.000, 4.234]],
  "species": ["Ga", "Ru", "Ru", "B", "Hg"],
  "frac_coords": [[0.500, 0.500, 0.500], [0.000, 0.500, 0.000], [0.500, 0.000, 0.000], [0.000, 0.000, 0.000], [0.000, 0.000, 0.500]],
  "magnetic_moment_mub_per_atom": 0.000,
  "total_energy_ev_per_atom": -31.85,
  "formation_enthalpy_0k_ev_per_atom": 0.4662
}


(5)
{
  "formula": "Ga2BI",
  "functional": "SCAN",
  "state": "single point on PBEsol structure",
  "cell": [[-3.391, 0.021, -3.465], [-0.701, -3.945, -2.730], [-4.033, -2.636, 0.539]],
  "species": ["B", "Ga", "Ga", "I"],
  "frac_coords": [[0.000, 0.000, 0.000], [0.750, 0.750, 0.750], [0.250, 0.250, 0.250], [0.500, 0.500, 0.500]],
  "magnetic_moment_mub_per_atom": 0.000,
  "total_energy_ev_per_atom": -17.87,
  "e_form_raw_ev_per_atom": 1.35
}


(6)
{
  "formula": "GaBTe2I",
  "functional": "SCAN",
  "state": "single point on PBEsol structure",
  "cell": [[-3.595, -2.795, 2.705], [3.889, -2.611, 2.472], [0.029, 3.791, 3.958]],
  "species": ["I", "Te", "Te", "Ga", "B"],
  "frac_coords": [[0.000, 0.000, 0.500], [0.500, 0.000, 0.000], [0.000, 0.500, 0.000], [0.000, 0.000, 0.000], [0.500, 0.500, 0.500]],
  "magnetic_moment_mub_per_atom": 0.000,
  "total_energy_ev_per_atom": -25.78,
  "e_form_raw_ev_per_atom": 1.22
}


(7)
{
  "formula": "InGaSn2B",
  "functional": "SCAN",
  "state": "single point on PBEsol structure",
  "cell": [[4.063, 0.000, 0.000], [0.000, 5.776, 0.000], [0.000, 0.000, 5.776]],
  "species": ["Sn", "Sn", "In", "B", "Ga"],
  "frac_coords": [[0.000, 0.500, 0.000], [0.000, 0.000, 0.500], [0.000, 0.000, 0.000], [0.500, 0.000, 0.000], [0.500, 0.500, 0.500]],
  "magnetic_moment_mub_per_atom": 0.000,
  "total_energy_ev_per_atom": -24.69,
  "formation_enthalpy_0k_ev_per_atom": 1.1090
}


(8)
{
  "formula": "GaBIr2",
  "functional": "SCAN",
  "state": "single point on PBEsol structure",
  "cell": [[-5.058, -0.678, 1.448], [4.114, -2.211, 3.619], [0.922, 2.686, 4.480]],
  "species": ["B", "B", "Ir", "Ir", "Ir", "Ir", "Ga", "Ga"],
  "frac_coords": [[0.500, 0.000, 0.500], [0.250, 0.500, 0.250], [0.557, 0.750, 0.375], [0.193, 0.750, 0.875], [0.375, 0.250, 0.193], [0.875, 0.250, 0.557], [0.000, 0.000, 0.000], [0.750, 0.500, 0.750]],
  "magnetic_moment_mub_per_atom": 0.000,
  "total_energy_ev_per_atom": -41.26,
  "formation_enthalpy_0k_ev_per_atom": 0.2328
}


(9)
{
  "formula": "GaBIr2",
  "functional": "SCAN",
  "state": "single point on PBEsol structure",
  "cell": [[4.087, 0.000, 0.000], [2.043, 3.539, 0.000], [2.043, 1.180, 3.337]],
  "species": ["Ir", "Ir", "B", "Ga"],
  "frac_coords": [[0.250, 0.250, 0.250], [0.750, 0.750, 0.750], [0.000, 0.000, 0.000], [0.500, 0.500, 0.500]],
  "magnetic_moment_mub_per_atom": 0.000,
  "total_energy_ev_per_atom": -41.40,
  "formation_enthalpy_0k_ev_per_atom": 0.0965
}


(10)
{
  "formula": "Ga8BIr4",
  "functional": "SCAN",
  "state": "single point on PBEsol structure",
  "cell": [[8.512, 0.000, 0.000], [0.000, 8.512, 0.000], [-4.256, -4.256, 10.500]],
  "species": ["Ir", "Ir", "Ir", "Ir", "Ir", "Ir", "Ir", "Ir", "Ir", "Ir", "Ir", "Ir", "Ir", "Ir", "Ir", "Ir", "Ga", "Ga", "Ga", "Ga", "Ga", "Ga", "Ga", "Ga", "Ga", "Ga", "Ga", "Ga", "Ga", "Ga", "Ga", "Ga", "Ga", "Ga", "Ga", "Ga", "Ga", "Ga", "Ga", "Ga", "Ga", "Ga", "Ga", "Ga", "Ga", "Ga", "Ga", "Ga", "B", "B", "B", "B"],
  "frac_coords": [[0.324, 0.176, 0.000], [0.602, 0.102, 0.204], [0.398, 0.898, 0.796], [0.574, 0.926, 0.500], [0.074, 0.074, 0.500], [0.676, 0.824, 0.000], [0.824, 0.324, 0.000], [0.648, 0.648, 0.296], [0.898, 0.398, 0.796], [0.352, 0.352, 0.704], [0.926, 0.574, 0.500], [0.102, 0.602, 0.204], [0.148, 0.148, 0.296], [0.852, 0.852, 0.704], [0.176, 0.676, 0.000], [0.426, 0.426, 0.500], [0.998, 0.151, 0.874], [0.650, 0.499, 0.868], [0.401, 0.625, 0.374], [0.498, 0.223, 0.874], [0.277, 0.002, 0.126], [0.973, 0.748, 0.374], [0.619, 0.400, 0.368], [0.752, 0.527, 0.626], [0.249, 0.900, 0.368], [0.032, 0.381, 0.632], [0.600, 0.251, 0.632], [0.532, 0.751, 0.632], [0.150, 0.869, 0.868], [0.100, 0.881, 0.632], [0.631, 0.350, 0.132], [0.501, 0.782, 0.132], [0.777, 0.625, 0.126], [0.875, 0.099, 0.626], [0.849, 0.125, 0.126], [0.349, 0.502, 0.126], [0.131, 0.282, 0.132], [0.901, 0.248, 0.374], [0.473, 0.125, 0.374], [0.749, 0.968, 0.368], [0.718, 0.999, 0.868], [0.875, 0.723, 0.874], [0.375, 0.027, 0.626], [0.218, 0.369, 0.868], [0.252, 0.599, 0.626], [0.375, 0.651, 0.874], [0.119, 0.468, 0.368], [0.001, 0.850, 0.132], [0.500, 0.000, 0.000], [0.000, 0.500, 0.000], [0.750, 0.750, 0.500], [0.250, 0.250, 0.500]],
  "magnetic_moment_mub_per_atom": 0.000,
  "total_energy_ev_per_atom": -33.06,
  "formation_enthalpy_0k_ev_per_atom": -0.5549
}


(11)
{
  "formula": "Mg2GaB2Ir5",
  "functional": "SCAN",
  "state": "single point on PBEsol structure",
  "cell": [[2.918, 0.000, 0.000], [0.000, 9.384, 0.000], [0.000, 0.000, 9.384]],
  "species": ["Ir", "Ir", "Ir", "Ir", "Ir", "Ir", "Ir", "Ir", "Ir", "Ir", "B", "B", "B", "B", "Mg", "Mg", "Mg", "Mg", "Ga", "Ga"],
  "frac_coords": [[0.500, 0.000, 0.500], [0.500, 0.714, 0.571], [0.500, 0.286, 0.429], [0.500, 0.214, 0.929], [0.500, 0.786, 0.071], [0.500, 0.071, 0.214], [0.500, 0.429, 0.714], [0.500, 0.571, 0.286], [0.500, 0.500, 0.000], [0.500, 0.929, 0.786], [0.000, 0.126, 0.374], [0.000, 0.374, 0.874], [0.000, 0.626, 0.126], [0.000, 0.874, 0.626], [0.000, 0.676, 0.824], [0.000, 0.324, 0.176], [0.000, 0.176, 0.676], [0.000, 0.824, 0.324], [0.000, 0.500, 0.500], [0.000, 0.000, 0.000]],
  "magnetic_moment_mub_per_atom": 0.000,
  "total_energy_ev_per_atom": -40.31,
  "formation_enthalpy_0k_ev_per_atom": -0.6472
}


(12)
{
  "formula": "Li3GaB2O6",
  "functional": "SCAN",
  "state": "single point on PBEsol structure",
  "cell": [[4.937, -0.032, -0.068], [0.001, 6.165, -0.098], [-0.003, 2.136, 7.590]],
  "species": ["B", "B", "B", "B", "O", "O", "O", "O", "O", "O", "O", "O", "O", "O", "O", "O", "Li", "Li", "Li", "Li", "Li", "Li", "Ga", "Ga"],
  "frac_coords": [[0.162, 0.825, 0.411], [0.838, 0.175, 0.589], [0.341, 0.675, 0.070], [0.659, 0.325, 0.930], [0.122, 0.174, 0.590], [0.289, 0.988, 0.279], [0.878, 0.826, 0.410], [0.300, 0.669, 0.531], [0.777, 0.218, 0.093], [0.389, 0.266, 0.899], [0.795, 0.487, 0.816], [0.611, 0.734, 0.101], [0.700, 0.331, 0.469], [0.205, 0.513, 0.184], [0.711, 0.012, 0.721], [0.223, 0.782, 0.907], [0.176, 0.532, 0.760], [0.165, 0.243, 0.107], [0.322, 0.402, 0.425], [0.678, 0.598, 0.575], [0.824, 0.468, 0.240], [0.835, 0.757, 0.893], [0.354, 0.049, 0.768], [0.646, 0.951, 0.232]],
  "magnetic_moment_mub_per_atom": 0.000,
  "total_energy_ev_per_atom": -8.77,
  "e_form_raw_ev_per_atom": -2.46
}